1.
VASP calculation (PBE-GGA) on an optimized crystal structure of SiSIN2.

The value obtained for the energy above the lowest structure with this stoichiometry is 0 meV per atom. The raw total energy is -4.6910 eV/atom.

The space group is P4/mmm (No. 123) and the conventional cell measures 3.606, 3.606 and 6.512 Å, with angles of 90.00, 90.00 and 90.00 degrees. Symmetry generates all atoms from Si at (0.000, 0.000, 0.000), S at (0.000, 0.000, 0.500), I at (0.500, 0.500, 0.500) and N at (0.000, 0.500, 0.000).


2.
VASP calculation (PBE-GGA) on an optimized crystal structure of SiSIN2.

The value obtained for the energy above the lowest structure with this stoichiometry is 1041 meV per atom. The raw total energy is -3.6499 eV/atom.

The space group is P4/mmm (No. 123) and the conventional cell measures 3.989, 3.989 and 5.414 Å, with angles of 90.00, 90.00 and 90.00 degrees. Symmetry generates all atoms from Si at (0.000, 0.000, 0.000), S at (0.500, 0.500, 0.000), I at (0.500, 0.500, 0.500) and N at (0.000, 0.500, 0.500).


3.
VASP calculation (PBE-GGA) on an optimized crystal structure of Sm2SIN.

The raw total energy is -6.2964 eV/atom.

The space group is C2/m (No. 12) and the conventional cell measures 15.233, 4.090 and 10.816 Å, with angles of 90.00, 126.70 and 90.00 degrees. Symmetry generates all atoms from Sm at (0.084, 0.000, 0.301), Sm at (0.129, 0.500, 0.030), S at (0.136, 0.000, 0.869), I at (0.168, 0.500, 0.597) and N at (0.060, 0.500, 0.174).


4.
VASP calculation (PBE-GGA) on an optimized crystal structure of SnSIN2.

The value obtained for the energy above the lowest structure with this stoichiometry is 166 meV per atom. The raw total energy is -3.7556 eV/atom.

The space group is P4/mmm (No. 123) and the conventional cell measures 4.114, 4.114 and 5.360 Å, with angles of 90.00, 90.00 and 90.00 degrees. Symmetry generates all atoms from Sn at (0.000, 0.000, 0.000), S at (0.500, 0.500, 0.000), I at (0.500, 0.500, 0.500) and N at (0.000, 0.500, 0.500).


5.
VASP calculation (PBE-GGA) on an optimized crystal structure of SnS2IN.

The value obtained for the energy above the lowest structure with this stoichiometry is 0 meV per atom. The raw total energy is -3.4721 eV/atom.

The space group is P4/mmm (No. 123) and the conventional cell measures 5.227, 5.227 and 3.988 Å, with angles of 90.00, 90.00 and 90.00 degrees. Symmetry generates all atoms from Sn at (0.000, 0.000, 0.000), S at (0.000, 0.500, 0.000), I at (0.500, 0.500, 0.500) and N at (0.000, 0.000, 0.500).


6.
VASP calculation (PBE-GGA) on an optimized crystal structure of SnSIN2.

The value obtained for the energy above the lowest structure with this stoichiometry is 0 meV per atom. The raw total energy is -3.9213 eV/atom.

The space group is P4/mmm (No. 123) and the conventional cell measures 4.175, 4.175 and 5.696 Å, with angles of 90.00, 90.00 and 90.00 degrees. Symmetry generates all atoms from Sn at (0.000, 0.000, 0.000), S at (0.000, 0.000, 0.500), I at (0.500, 0.500, 0.500) and N at (0.000, 0.500, 0.000).